KTl2Ge2: relaxed, PBE.

Structure (POSCAR):
```
KTl2Ge2
1.0
8.658 0.000 0.000
0.000 8.658 0.000
0.000 0.000 3.824
K Tl Ge
2 4 4
direct
0.000 0.000 0.000
0.500 0.500 0.000
0.170 0.670 0.500
0.670 0.830 0.500
0.830 0.330 0.500
0.330 0.170 0.500
0.390 0.890 0.000
0.890 0.610 0.000
0.610 0.110 0.000
0.110 0.390 0.000
```

Calculated values
Space-group type: P4/mbm
Relative energy among the computed polymorphs, kcal/mol of atoms: 2.661



K2TlGe2: relaxed, PBE.

Structure (POSCAR):
```
K2TlGe2
1.0
9.429 0.000 0.000
0.000 9.429 0.000
0.000 0.000 3.683
K Tl Ge
4 2 4
direct
0.203 0.703 0.500
0.703 0.797 0.500
0.797 0.297 0.500
0.297 0.203 0.500
0.000 0.000 0.000
0.500 0.500 0.000
0.411 0.911 0.000
0.911 0.589 0.000
0.589 0.089 0.000
0.089 0.411 0.000
```

Calculated values
Space-group type: P4/mbm
Relative energy among the computed polymorphs, kcal/mol of atoms: 0.366



KTlGe: relaxed, PBE.

Structure (POSCAR):
```
KTlGe
1.0
17.588 0.000 0.009
6.905 2.025 -2.800
-6.905 2.025 2.800
K Tl Ge
2 2 2
direct
0.641 0.985 0.015
0.359 0.015 0.985
0.835 0.083 0.917
0.165 0.917 0.083
0.128 0.615 0.385
0.872 0.385 0.615
```

Calculated values
Space-group type: C2/m



KTl2Ge: relaxed, PBE.

Structure (POSCAR):
```
KTl2Ge
1.0
8.923 0.000 0.000
0.000 8.923 0.000
4.461 4.461 3.381
K Tl Ge
2 4 2
direct
0.500 0.500 0.000
0.250 0.750 0.500
0.695 0.125 0.250
0.055 0.625 0.250
0.375 0.305 0.750
0.875 0.945 0.750
0.000 0.000 0.000
0.750 0.250 0.500
```

Calculated values
Space-group type: I-42d
Relative energy among the computed polymorphs, kcal/mol of atoms: 1.773



KTl2Ge2: relaxed, PBE.

Structure (POSCAR):
```
KTl2Ge2
1.0
4.942 0.000 0.000
0.000 4.942 0.000
2.471 2.471 6.062
K Tl Ge
1 2 2
direct
0.000 0.000 0.000
0.376 0.376 0.248
0.624 0.624 0.752
0.750 0.250 0.500
0.250 0.750 0.500
```

Calculated values
Space-group type: I4/mmm
Relative energy among the computed polymorphs, kcal/mol of atoms: 2.013



K4Tl5Ge: relaxed, PBE.

Structure (POSCAR):
```
K4Tl5Ge
1.0
-5.659 3.912 1.297
-6.222 -3.934 3.616
-0.080 3.726 7.306
K Tl Ge
4 5 1
direct
0.853 0.637 0.759
0.611 0.241 0.637
0.490 0.759 0.363
0.248 0.363 0.241
0.251 0.704 0.870
0.121 0.130 0.704
0.955 0.870 0.296
0.825 0.296 0.130
0.344 0.000 0.000
0.791 0.000 0.000
```

Calculated values
Space-group type: I4



VASP energy for every record listed, in sequence, given in eV/atom: -2.895, -2.668, -2.801, -2.538, -2.923, -2.168.
Density of states at the Fermi level for every record listed, in sequence, given in states/eV per atom: 0.53, 0.98, 0.36, 0.62, 0.42, 0.82.
Theoretical density for every record listed, in sequence, given in kg/m³: 6873, 4339, 5255, 6423, 6653, 5394.